(1)
Density functional theory data (GGA-PBE) for an optimized crystal structure of BaCdHg.

Structure (POSCAR):
```
BaCdHg
1.0
-2.642 4.192 4.364
2.642 -4.192 4.364
2.642 4.192 -4.364
Ba Cd Hg
2 2 2
Cartesian
0.000 0.000 0.000
0.000 4.192 0.795
2.642 -1.561 1.842
2.642 1.561 1.842
2.642 2.533 -1.039
0.000 1.659 3.325
```

## Properties
raw total energy = -4.4 eV/f.u.
calculated volume = 193.29 Å³/cell

***

(2)
Density functional theory data (GGA-PBE) for an optimized crystal structure of BaCd3Hg.

Structure (POSCAR):
```
BaCd3Hg
1.0
3.356 -6.399 0.000
3.356 6.399 0.000
0.000 0.000 6.757
Ba Cd Hg
2 6 2
Cartesian
3.356 3.214 5.067
3.356 -3.214 1.689
3.356 4.776 1.689
1.764 0.000 0.000
1.764 0.000 3.378
4.948 0.000 0.000
4.948 0.000 3.378
3.356 -4.776 5.067
3.356 1.877 1.689
3.356 -1.877 5.067
```

## Properties
raw total energy = -6.5 eV/f.u.
calculated volume = 290.21 Å³/cell

***

(3)
Density functional theory data (GGA-PBE) for an optimized crystal structure of Ba2Cd3Hg.

Structure (POSCAR):
```
Ba2Cd3Hg
1.0
6.012 -2.642 0.000
6.012 2.642 0.000
-5.824 0.000 6.045
Ba Cd Hg
2 3 1
Cartesian
0.000 0.000 0.000
-2.341 0.000 3.627
3.455 0.000 1.190
6.210 0.000 2.409
8.426 0.000 0.198
1.232 0.000 3.532
```

## Properties
raw total energy = -9.2 eV/f.u.
calculated volume = 192.04 Å³/cell

***

(4)
Density functional theory data (GGA-PBE) for an optimized crystal structure of BaMgCd2Hg.

Structure (POSCAR):
```
BaMgCd2Hg
1.0
-2.376 2.376 6.405
2.376 -2.376 6.405
2.376 2.376 -6.405
Ba Mg Cd Hg
1 1 2 1
Cartesian
0.000 0.000 0.000
0.000 0.000 7.950
2.376 0.000 3.232
0.000 2.376 3.232
0.000 0.000 5.105
```

## Properties
raw total energy = -6.9 eV/f.u.
calculated volume = 144.63 Å³/cell

***

(5)
Density functional theory data (GGA-PBE) for an optimized crystal structure of BaCd2HgPd.

Structure (POSCAR):
```
BaCd2HgPd
1.0
-2.300 2.300 6.370
2.300 -2.300 6.370
2.300 2.300 -6.370
Ba Cd Hg Pd
1 2 1 1
Cartesian
0.000 0.000 0.000
2.300 0.000 2.980
0.000 2.300 2.980
0.000 0.000 4.952
0.000 0.000 7.749
```

## Properties
raw total energy = -11.3 eV/f.u.
calculated volume = 134.84 Å³/cell

***

(6)
Density functional theory data (GGA-PBE) for an optimized crystal structure of BaCdHg2Pd.

Structure (POSCAR):
```
BaCdHg2Pd
1.0
-2.311 2.311 6.389
2.311 -2.311 6.389
2.311 2.311 -6.389
Ba Cd Hg Pd
1 1 2 1
Cartesian
0.000 0.000 0.000
0.000 2.311 3.195
0.000 0.000 4.876
0.000 0.000 7.902
2.311 0.000 3.195
```

## Properties
raw total energy = -10.4 eV/f.u.
calculated volume = 136.50 Å³/cell

***

Copy entry 4 word for word.
Density functional theory data (GGA-PBE) for an optimized crystal structure of BaMgCd2Hg.

Structure (POSCAR):
```
BaMgCd2Hg
1.0
-2.376 2.376 6.405
2.376 -2.376 6.405
2.376 2.376 -6.405
Ba Mg Cd Hg
1 1 2 1
Cartesian
0.000 0.000 0.000
0.000 0.000 7.950
2.376 0.000 3.232
0.000 2.376 3.232
0.000 0.000 5.105
```

## Properties
raw total energy = -6.9 eV/f.u.
calculated volume = 144.63 Å³/cell

***

Please write out number 1 again, unchanged.
Density functional theory data (GGA-PBE) for an optimized crystal structure of BaCdHg.

Structure (POSCAR):
```
BaCdHg
1.0
-2.642 4.192 4.364
2.642 -4.192 4.364
2.642 4.192 -4.364
Ba Cd Hg
2 2 2
Cartesian
0.000 0.000 0.000
0.000 4.192 0.795
2.642 -1.561 1.842
2.642 1.561 1.842
2.642 2.533 -1.039
0.000 1.659 3.325
```

## Properties
raw total energy = -4.4 eV/f.u.
calculated volume = 193.29 Å³/cell

***

The highest raw total energy belongs to which entry? BaCdHg